Here is a relaxed structure of CeY4Rh5 from the Alexandria database. Energies are from PBEsol.

Summary:
**E_form**: -0.75 eV per atom
**Volume**: 19.4 A^3/atom
**Calculated total energy**: -0.3018 hartree per atom

Unit cell a=3.361 b=3.361 c=17.193 alpha=90.00 beta=90.00 gamma=90.00
Fractional coordinates of all 10 atoms:
Ce 0.000 0.000 0.000
Y 0.000 0.000 0.202
Y 0.000 0.000 0.401
Y 0.000 0.000 0.599
Y 0.000 0.000 0.798
Rh 0.500 0.500 0.098
Rh 0.500 0.500 0.300
Rh 0.500 0.500 0.500
Rh 0.500 0.500 0.700
Rh 0.500 0.500 0.902



Here is a relaxed structure of Al2SiTe from the Alexandria database. Energies are from PBEsol.

Summary:
**Volume**: 20.4 A^3/atom
**Calculated total energy**: -0.1602 hartree per atom
**Offset from the most stable computed form**: 0.0 kJ/mol of formula units

Unit cell a=6.649 b=6.649 c=6.649 alpha=33.95 beta=33.95 gamma=33.95
Fractional coordinates of all 4 atoms:
Al 0.235 0.235 0.235
Al 0.765 0.765 0.765
Si 0.500 0.500 0.500
Te 0.000 0.000 0.000



Here is a relaxed structure of CsTmSeCl2O3 from the Alexandria database. Energies are from PBEsol.

Summary:
**Volume**: 24.1 A^3/atom
**Calculated total energy**: -0.2104 hartree per atom

Unit cell a=6.526 b=6.852 c=17.731 alpha=90.00 beta=103.42 gamma=90.00
Fractional coordinates of all 32 atoms:
Cs 0.243 0.210 0.056
Cs 0.243 0.290 0.556
Cs 0.757 0.710 0.444
Cs 0.757 0.790 0.944
Tm 0.135 0.672 0.258
Tm 0.135 0.828 0.758
Tm 0.865 0.172 0.242
Tm 0.865 0.328 0.742
Se 0.368 0.182 0.293
Se 0.368 0.318 0.793
Se 0.632 0.682 0.207
Se 0.632 0.818 0.707
Cl 0.130 0.692 0.111
Cl 0.130 0.808 0.611
Cl 0.231 0.635 0.408
Cl 0.231 0.865 0.908
Cl 0.769 0.135 0.092
Cl 0.769 0.365 0.592
Cl 0.870 0.192 0.389
Cl 0.870 0.308 0.889
O 0.174 0.151 0.751
O 0.174 0.349 0.251
O 0.186 0.506 0.770
O 0.186 0.994 0.270
O 0.488 0.663 0.274
O 0.488 0.837 0.774
O 0.512 0.163 0.226
O 0.512 0.337 0.726
O 0.814 0.006 0.730
O 0.814 0.494 0.230
O 0.826 0.651 0.749
O 0.826 0.849 0.249



Here is a relaxed structure of NaTl2Au from the Alexandria database. Energies are from PBEsol.

Summary:
**E_form**: -0.04 eV per atom
**Volume**: 26.6 A^3/atom
**Calculated total energy**: -0.0989 hartree per atom

Unit cell a=6.662 b=6.662 c=6.662 alpha=101.89 beta=101.89 gamma=126.01
Fractional coordinates of all 8 atoms:
Na 0.000 0.000 0.000
Na 0.750 0.250 0.500
Tl 0.172 0.625 0.047
Tl 0.375 0.422 0.547
Tl 0.578 0.125 0.953
Tl 0.875 0.828 0.453
Au 0.250 0.750 0.500
Au 0.500 0.500 0.000



Here is a relaxed structure of Ti2FeCo from the Alexandria database. Energies are from PBEsol.

Summary:
**E_form**: -0.42 eV per atom
**Volume**: 12.5 A^3/atom
**Calculated total energy**: -0.3217 hartree per atom

Unit cell a=4.138 b=4.138 c=4.138 alpha=60.00 beta=60.00 gamma=60.00
Fractional coordinates of all 4 atoms:
Ti 0.250 0.250 0.250
Ti 0.750 0.750 0.750
Fe 0.000 0.000 0.000
Co 0.500 0.500 0.500



Here is a relaxed structure of Li5TiV3O8 from the Alexandria database. Energies are from PBEsol.

Summary:
**Volume**: 8.2 A^3/atom
**Calculated total energy**: -0.2747 hartree per atom

Unit cell a=8.180 b=8.268 c=8.270 alpha=90.00 beta=90.00 gamma=90.00
Fractional coordinates of all 68 atoms:
Li 0.104 0.098 0.101
Li 0.109 0.603 0.604
Li 0.110 0.397 0.400
Li 0.110 0.892 0.892
Li 0.241 0.251 0.242
Li 0.259 0.749 0.742
Li 0.390 0.108 0.392
Li 0.390 0.603 0.900
Li 0.391 0.397 0.104
Li 0.396 0.902 0.601
Li 0.604 0.402 0.899
Li 0.609 0.897 0.396
Li 0.610 0.103 0.600
Li 0.610 0.608 0.108
Li 0.741 0.249 0.758
Li 0.759 0.751 0.258
Li 0.890 0.392 0.608
Li 0.890 0.897 0.100
Li 0.891 0.103 0.896
Li 0.896 0.598 0.399
Ti 0.125 0.878 0.377
Ti 0.375 0.122 0.877
Ti 0.625 0.622 0.623
Ti 0.875 0.378 0.123
V 0.101 0.112 0.610
V 0.109 0.389 0.875
V 0.113 0.621 0.109
V 0.387 0.379 0.609
V 0.391 0.611 0.375
V 0.399 0.888 0.110
V 0.601 0.388 0.390
V 0.609 0.111 0.125
V 0.613 0.879 0.891
V 0.887 0.121 0.391
V 0.891 0.889 0.625
V 0.899 0.612 0.890
O 0.123 0.378 0.118
O 0.125 0.132 0.864
O 0.127 0.366 0.631
O 0.130 0.119 0.368
O 0.132 0.630 0.362
O 0.133 0.866 0.128
O 0.135 0.870 0.618
O 0.140 0.627 0.869
O 0.360 0.373 0.369
O 0.365 0.130 0.118
O 0.367 0.134 0.628
O 0.368 0.370 0.862
O 0.370 0.881 0.868
O 0.373 0.634 0.131
O 0.375 0.868 0.364
O 0.377 0.622 0.618
O 0.623 0.122 0.882
O 0.625 0.368 0.136
O 0.627 0.134 0.369
O 0.630 0.381 0.632
O 0.632 0.870 0.638
O 0.633 0.634 0.872
O 0.635 0.630 0.382
O 0.640 0.873 0.131
O 0.860 0.127 0.631
O 0.865 0.370 0.882
O 0.867 0.366 0.372
O 0.868 0.130 0.138
O 0.870 0.619 0.132
O 0.873 0.866 0.869
O 0.875 0.632 0.636
O 0.877 0.878 0.382